The following is a DFT calculation (PBE-GGA) of an optimized crystal structure of Y2ZrP.

Properties
space-group type: No. 123
VASP energy: -7.0127 eV/atom
DOS at the Fermi energy: 3.749 states/eV/cell
formation energy: -291.2 meV/atom

a = 4.5767 Å, b = 4.5767 Å, c = 4.2883 Å
α = 90.00°, β = 90.00°, γ = 90.00°
Element x y z (fractional)
Zr (0.0000, 0.0000, 0.5000)
Y (0.0000, 0.5000, 0.0000)
P (0.5000, 0.5000, 0.5000)
Y (0.5000, 0.0000, 0.0000)